1.
# La3NdTh4S8 PBE relaxed
data_La3NdTh4S8
_chemical_formula_sum 'La3 Nd1 Th4 S8'
_space_group_name_H-M_alt 'P 1'
_space_group_IT_number 1
_cell_length_a 8.211
_cell_length_b 8.211
_cell_length_c 8.211
_cell_angle_alpha 59.32
_cell_angle_beta 59.32
_cell_angle_gamma 59.32
loop_
_space_group_symop_operation_xyz
'x,y,z'
loop_
_atom_site_label
_atom_site_type_symbol
_atom_site_fract_x
_atom_site_fract_y
_atom_site_fract_z
La1 La 0.000 0.500 0.500
La2 La 0.500 0.000 0.500
La3 La 0.500 0.500 0.000
Nd1 Nd 0.000 0.000 0.000
Th1 Th 0.000 0.000 0.500
Th2 Th 0.000 0.500 0.000
Th3 Th 0.500 0.000 0.000
Th4 Th 0.500 0.500 0.500
S1 S 0.246 0.750 0.750
S2 S 0.248 0.248 0.248
S3 S 0.250 0.250 0.754
S4 S 0.250 0.754 0.250
S5 S 0.750 0.246 0.750
S6 S 0.750 0.750 0.246
S7 S 0.752 0.752 0.752
S8 S 0.754 0.250 0.250
# Crystal system: trigonal
# SG: R-3m
# Formation energy from raw total energies (eV per atom): -1.98

2.
# PmPa2PN6 PBE relaxed
data_PmPa2PN6
_chemical_formula_sum 'Pm1 Pa2 P1 N6'
_space_group_name_H-M_alt 'P 1'
_space_group_IT_number 1
_cell_length_a 5.257
_cell_length_b 5.257
_cell_length_c 5.180
_cell_angle_alpha 90.00
_cell_angle_beta 90.00
_cell_angle_gamma 90.00
loop_
_space_group_symop_operation_xyz
'x,y,z'
loop_
_atom_site_label
_atom_site_type_symbol
_atom_site_fract_x
_atom_site_fract_y
_atom_site_fract_z
Pm1 Pm 0.000 0.000 0.000
Pa1 Pa 0.000 0.500 0.450
Pa2 Pa 0.500 0.000 0.450
P1 P 0.500 0.500 0.072
N1 N 0.000 0.000 0.554
N2 N 0.279 0.279 0.200
N3 N 0.279 0.721 0.200
N4 N 0.500 0.500 0.746
N5 N 0.721 0.279 0.200
N6 N 0.721 0.721 0.200
# Crystal system: tetragonal
# SG: P4mm
# Formation energy from raw total energies (eV per atom): -0.91

3.
# MgGaHg3 PBE relaxed
data_MgGaHg3
_chemical_formula_sum 'Mg1 Ga1 Hg3'
_space_group_name_H-M_alt 'P 1'
_space_group_IT_number 1
_cell_length_a 5.303
_cell_length_b 5.303
_cell_length_c 5.303
_cell_angle_alpha 90.00
_cell_angle_beta 90.00
_cell_angle_gamma 90.00
loop_
_space_group_symop_operation_xyz
'x,y,z'
loop_
_atom_site_label
_atom_site_type_symbol
_atom_site_fract_x
_atom_site_fract_y
_atom_site_fract_z
Mg1 Mg 0.000 0.000 0.000
Ga1 Ga 0.500 0.500 0.500
Hg1 Hg 0.000 0.500 0.500
Hg2 Hg 0.500 0.000 0.500
Hg3 Hg 0.500 0.500 0.000
# Crystal system: cubic
# ΔE_f (eV/f.u.): 0.935
# SG: Pm-3m
# Energy relative to the lowest polymorph listed for this composition (eV per atom): 0.2262

4.
# ScReSi2 PBE relaxed
data_ScReSi2
_chemical_formula_sum 'Sc1 Re1 Si2'
_space_group_name_H-M_alt 'P 1'
_space_group_IT_number 1
_cell_length_a 3.079
_cell_length_b 4.232
_cell_length_c 4.981
_cell_angle_alpha 90.00
_cell_angle_beta 90.00
_cell_angle_gamma 90.00
loop_
_space_group_symop_operation_xyz
'x,y,z'
loop_
_atom_site_label
_atom_site_type_symbol
_atom_site_fract_x
_atom_site_fract_y
_atom_site_fract_z
Sc1 Sc 0.000 0.000 0.000
Re1 Re 0.500 0.000 0.500
Si1 Si 0.500 0.500 0.249
Si2 Si 0.500 0.500 0.751
# Crystal system: orthorhombic
# SG: Pmmm
# Formation energy from raw total energies (eV per atom): -0.35

5.
# AcNd2PuS4 PBE relaxed
data_AcNd2PuS4
_chemical_formula_sum 'Ac1 Nd2 Pu1 S4'
_space_group_name_H-M_alt 'P 1'
_space_group_IT_number 1
_cell_length_a 7.126
_cell_length_b 4.092
_cell_length_c 7.143
_cell_angle_alpha 90.00
_cell_angle_beta 109.25
_cell_angle_gamma 90.00
loop_
_space_group_symop_operation_xyz
'x,y,z'
loop_
_atom_site_label
_atom_site_type_symbol
_atom_site_fract_x
_atom_site_fract_y
_atom_site_fract_z
Ac1 Ac 0.000 0.000 0.000
Nd1 Nd 0.500 0.000 0.500
Nd2 Nd 0.500 0.500 0.000
Pu1 Pu 0.000 0.500 0.500
S1 S 0.248 0.000 0.739
S2 S 0.257 0.500 0.263
S3 S 0.743 0.500 0.737
S4 S 0.752 0.000 0.261
# Crystal system: monoclinic
# SG: P2/m
# Formation energy from raw total energies (eV per atom): -1.94

6.
# Cs2Br PBE relaxed
data_Cs2Br
_chemical_formula_sum 'Cs4 Br2'
_space_group_name_H-M_alt 'P 1'
_space_group_IT_number 1
_cell_length_a 11.276
_cell_length_b 11.276
_cell_length_c 7.496
_cell_angle_alpha 90.00
_cell_angle_beta 90.00
_cell_angle_gamma 153.11
loop_
_space_group_symop_operation_xyz
'x,y,z'
loop_
_atom_site_label
_atom_site_type_symbol
_atom_site_fract_x
_atom_site_fract_y
_atom_site_fract_z
Cs1 Cs 0.076 0.924 0.750
Cs2 Cs 0.312 0.688 0.750
Cs3 Cs 0.688 0.312 0.250
Cs4 Cs 0.924 0.076 0.250
Br1 Br 0.305 0.695 0.250
Br2 Br 0.695 0.305 0.750
# Crystal system: orthorhombic
# SG: Cmcm
# Energy relative to the lowest polymorph listed for this composition (eV per atom): 0.0000
# Formation energy from raw total energies (eV per atom): -1.14

7.
# Er4CdAg5 PBE relaxed
data_Er4CdAg5
_chemical_formula_sum 'Er4 Cd1 Ag5'
_space_group_name_H-M_alt 'P 1'
_space_group_IT_number 1
_cell_length_a 3.556
_cell_length_b 3.556
_cell_length_c 17.895
_cell_angle_alpha 90.00
_cell_angle_beta 90.00
_cell_angle_gamma 90.00
loop_
_space_group_symop_operation_xyz
'x,y,z'
loop_
_atom_site_label
_atom_site_type_symbol
_atom_site_fract_x
_atom_site_fract_y
_atom_site_fract_z
Er1 Er 0.000 0.000 0.103
Er2 Er 0.000 0.000 0.308
Er3 Er 0.000 0.000 0.692
Er4 Er 0.000 0.000 0.897
Cd1 Cd 0.000 0.000 0.500
Ag1 Ag 0.500 0.500 0.000
Ag2 Ag 0.500 0.500 0.206
Ag3 Ag 0.500 0.500 0.408
Ag4 Ag 0.500 0.500 0.592
Ag5 Ag 0.500 0.500 0.794
# Crystal system: tetragonal
# ΔE_f (eV/f.u.): -2.823
# SG: P4/mmm

8.
# FeTc2Br PBE relaxed
data_FeTc2Br
_chemical_formula_sum 'Fe1 Tc2 Br1'
_space_group_name_H-M_alt 'P 1'
_space_group_IT_number 1
_cell_length_a 2.917
_cell_length_b 4.521
_cell_length_c 4.595
_cell_angle_alpha 90.00
_cell_angle_beta 90.00
_cell_angle_gamma 90.00
loop_
_space_group_symop_operation_xyz
'x,y,z'
loop_
_atom_site_label
_atom_site_type_symbol
_atom_site_fract_x
_atom_site_fract_y
_atom_site_fract_z
Fe1 Fe 0.000 0.000 0.000
Tc1 Tc 0.000 0.500 0.500
Tc2 Tc 0.500 0.500 0.000
Br1 Br 0.500 0.000 0.500
# Crystal system: orthorhombic
# SG: Pmmm
# Energy relative to the lowest polymorph listed for this composition (eV per atom): 0.4645
# Formation energy from raw total energies (eV per atom): 0.89

Number 1: M_tot 0.00 μB per formula unit, DFT total energy -7.1253 eV/atom. Number 2: M_tot 0.00 μB per formula unit, DFT total energy -8.8156 eV/atom. Number 3: M_tot 0.00 μB per formula unit, DFT total energy -0.9184 eV/atom. Number 4: M_tot 0.00 μB per formula unit, DFT total energy -7.7558 eV/atom. Number 5: M_tot 5.74 μB per formula unit, DFT total energy -7.5032 eV/atom. Number 6: M_tot 0.00 μB per formula unit, DFT total energy -2.2662 eV/atom. Number 7: M_tot 0.00 μB per formula unit, DFT total energy -3.6246 eV/atom. Number 8: M_tot 2.50 μB per formula unit, DFT total energy -6.8253 eV/atom.